# LiYSi2

An optimized crystal structure of LiYSi2 (GGA-PBEsol, Alexandria via LeMat-Bulk).

Output
Volume, A^3/atom: 19.597
Raw formation energy, eV/atom: -0.515
Symmetry: Amm2, No. 38
Energy above the most stable polymorph in this dataset, meV per atom: 4.0
Calculated total energy, eV per atom: -5.5852
Magnetic moment, μB per atom: 0.0000

Structure (CIF):
```
data_LiYSi2
_chemical_formula_sum 'Li1 Y1 Si2'
_space_group_name_H-M_alt 'P 1'
_space_group_IT_number 1
_cell_length_a 3.7647
_cell_length_b 4.2025
_cell_length_c 5.3820
_cell_angle_alpha 112.98
_cell_angle_beta 90.00
_cell_angle_gamma 90.00
loop_
_space_group_symop_operation_xyz
'x,y,z'
loop_
_atom_site_label
_atom_site_fract_x
_atom_site_fract_y
_atom_site_fract_z
Y1 0.0000 0.1140 0.2279
Si1 0.0000 0.8264 0.6527
Si2 0.5000 0.6775 0.3551
Li1 0.5000 0.3895 0.7790
```

=====

# HfSi3Ru

An optimized crystal structure of HfSi3Ru (GGA-PBEsol, Alexandria via LeMat-Bulk).

Output
Volume, A^3/atom: 22.549
Raw formation energy, eV/atom: 1.571
Symmetry: Pm-3m, No. 221
Calculated total energy, eV per atom: -6.0124
Magnetic moment, μB per atom: 0.4685

Structure (CIF):
```
data_HfSi3Ru
_chemical_formula_sum 'Hf1 Si3 Ru1'
_space_group_name_H-M_alt 'P 1'
_space_group_IT_number 1
_cell_length_a 4.8309
_cell_length_b 4.8309
_cell_length_c 4.8309
_cell_angle_alpha 90.00
_cell_angle_beta 90.00
_cell_angle_gamma 90.00
loop_
_space_group_symop_operation_xyz
'x,y,z'
loop_
_atom_site_label
_atom_site_fract_x
_atom_site_fract_y
_atom_site_fract_z
Ru1 0.5000 0.5000 0.5000
Si1 0.0000 0.5000 0.0000
Si2 0.0000 0.0000 0.5000
Si3 0.5000 0.0000 0.0000
Hf1 0.0000 0.0000 0.0000
```

=====

# CuB3W

An optimized crystal structure of CuB3W (GGA-PBEsol, Alexandria via LeMat-Bulk).

Output
Volume, A^3/atom: 10.253
Symmetry: Pm-3m, No. 221
Energy relative to the elements, eV/atom: 1.67
Calculated total energy, eV per atom: -6.1689
Magnetic moment, μB per atom: 0.0000

Structure (CIF):
```
data_CuB3W
_chemical_formula_sum 'Cu1 B3 W1'
_space_group_name_H-M_alt 'P 1'
_space_group_IT_number 1
_cell_length_a 3.7149
_cell_length_b 3.7149
_cell_length_c 3.7149
_cell_angle_alpha 90.00
_cell_angle_beta 90.00
_cell_angle_gamma 90.00
loop_
_space_group_symop_operation_xyz
'x,y,z'
loop_
_atom_site_label
_atom_site_fract_x
_atom_site_fract_y
_atom_site_fract_z
B1 0.0000 0.5000 0.0000
B2 0.0000 0.0000 0.5000
B3 0.5000 0.0000 0.0000
Cu1 0.0000 0.0000 0.0000
W1 0.5000 0.5000 0.5000
```